# AsP2Br, PBEsol geometry, DFT meta-GGA SCAN
data_AsP2Br
_symmetry_space_group_name_H-M 'I 4/m m m'
_symmetry_Int_Tables_number 139
_symmetry_space_group_name_Hall '-I 4 2'
_cell_length_a 3.611
_cell_length_b 3.611
_cell_length_c 12.063
_cell_angle_alpha 90.00
_cell_angle_beta 90.00
_cell_angle_gamma 90.00
loop_
_atom_site_label
_atom_site_fract_x
_atom_site_fract_y
_atom_site_fract_z
_atom_site_occupancy
As1 0.000 0.000 0.000 1
P1 0.000 0.500 0.250 1
Br1 0.000 0.000 0.500 1
# Energy above the lowest structure with this stoichiometry ... 2.66 eV per formula unit
# Raw formation energy ... 0.8957 eV/atom